1.
## Hg2RhW (PBE)

Data for Hg2RhW after structural relaxation.

extended XYZ file:
```
4
Lattice="-2.8784 -2.2692 -3.3969 -1.8336 -4.3569 -1.6215 -4.4863 -0.0875 2.5373" Properties=species:S:1:pos:R:3 pbc="T T T"
Hg -4.5507 -1.7094 0.6679
Hg -4.6476 -5.0041 -3.1491
W -2.2432 -0.0437 1.2687
Rh -2.3560 -3.3130 -2.5092
```

Values from the calculation:
* DFT formation energy: 0.60 eV/atom
* symmetry: C2/m
* DFT total energy: -4.63 eV/atom
* spin magnetization: 0.0 μB per cell
* calculated volume: 71 Å³/cell

2.
## LiBeAg (PBE)

Data for LiBeAg after structural relaxation.

extended XYZ file:
```
3
Lattice="4.8151 0.0039 -0.0004 2.8607 3.8732 0.0004 -3.7299 -2.1523 2.1542" Properties=species:S:1:pos:R:3 pbc="T T T"
Ag 7.5644 3.8208 0.0000
Li 5.1613 2.6070 0.0000
Be 2.6258 1.3263 0.0000
```

Values from the calculation:
* DFT formation energy: 0.10 eV/atom
* symmetry: Imm2
* DFT total energy: -2.73 eV/atom
* spin magnetization: 0.0 μB per cell
* calculated volume: 40 Å³/cell